# 1
! LiFeCo2Pb PBE optimized geometry; values from VASP
! V = 76 Å³/f.u.
! Total energy = -0.166 Ha/atom
! D(E_F) = 8.53 states/eV/f.u.
! Crystal system = tetragonal
! ΔH_f (0 K) = 1.130 eV/atom
&SYSTEM
  ibrav = 0, nat = 5, ntyp = 4
/
ATOMIC_SPECIES
Li 6.94 Li.upf
Fe 55.84 Fe.upf
Co 58.93 Co.upf
Pb 207.20 Pb.upf
CELL_PARAMETERS angstrom
4.067 0.000 0.000
0.000 4.067 0.000
0.000 0.000 4.565
ATOMIC_POSITIONS crystal
Li 0.000 0.000 0.000
Fe 0.500 0.500 0.500
Co 0.000 0.500 0.000
Co 0.500 0.000 0.000
Pb 0.000 0.000 0.500

# 2
! HoRh3C PBE optimized geometry; values from VASP
! V = 73 Å³/f.u.
! Total energy = -0.283 Ha/atom
! D(E_F) = 1.00 states/eV/f.u.
! Crystal system = cubic
! ΔH_f (0 K) = -0.526 eV/atom
&SYSTEM
  ibrav = 0, nat = 5, ntyp = 3
/
ATOMIC_SPECIES
Ho 164.93 Ho.upf
Rh 102.91 Rh.upf
C 12.01 C.upf
CELL_PARAMETERS angstrom
4.176 0.000 0.000
0.000 4.176 0.000
0.000 0.000 4.176
ATOMIC_POSITIONS crystal
Ho 0.000 0.000 0.000
Rh 0.000 0.500 0.500
Rh 0.500 0.000 0.500
Rh 0.500 0.500 0.000
C 0.500 0.500 0.500

# 3
! CaTl5Cd2 PBE optimized geometry; values from VASP
! V = 229 Å³/f.u.
! Total energy = -0.075 Ha/atom
! D(E_F) = 3.51 states/eV/f.u.
! Excess energy over the best structure of this formula in the dataset = 0 meV per atom
! Crystal system = monoclinic
! ΔH_f (0 K) = -0.080 eV/atom
&SYSTEM
  ibrav = 0, nat = 16, ntyp = 3
/
ATOMIC_SPECIES
Ca 40.08 Ca.upf
Tl 204.38 Tl.upf
Cd 112.41 Cd.upf
CELL_PARAMETERS angstrom
5.576 0.000 0.000
0.000 13.676 0.000
-0.463 0.000 6.007
ATOMIC_POSITIONS crystal
Ca 0.246 0.250 0.334
Ca 0.754 0.750 0.666
Tl 0.235 0.750 0.328
Tl 0.243 0.000 0.327
Tl 0.243 0.500 0.327
Tl 0.263 0.623 0.841
Tl 0.263 0.877 0.841
Tl 0.737 0.123 0.159
Tl 0.737 0.377 0.159
Tl 0.757 0.000 0.673
Tl 0.757 0.500 0.673
Tl 0.765 0.250 0.672
Cd 0.254 0.128 0.834
Cd 0.254 0.372 0.834
Cd 0.746 0.628 0.166
Cd 0.746 0.872 0.166

# 4
! KPmAg2O4 PBE optimized geometry; values from VASP
! V = 127 Å³/f.u.
! Total energy = -0.192 Ha/atom
! D(E_F) = 3.84 states/eV/f.u.
! Crystal system = tetragonal
! E_form (uncorrected) = -1300 meV per atom
&SYSTEM
  ibrav = 0, nat = 16, ntyp = 4
/
ATOMIC_SPECIES
K 39.10 K.upf
Pm 145.00 Pm.upf
Ag 107.87 Ag.upf
O 16.00 O.upf
CELL_PARAMETERS angstrom
5.985 0.000 0.000
0.000 5.985 0.000
0.000 0.000 7.083
ATOMIC_POSITIONS crystal
K 0.000 0.000 0.000
K 0.500 0.500 0.500
Pm 0.000 0.000 0.500
Pm 0.500 0.500 0.000
Ag 0.000 0.500 0.250
Ag 0.000 0.500 0.750
Ag 0.500 0.000 0.250
Ag 0.500 0.000 0.750
O 0.211 0.211 0.704
O 0.211 0.789 0.296
O 0.289 0.289 0.204
O 0.289 0.711 0.796
O 0.711 0.289 0.796
O 0.711 0.711 0.204
O 0.789 0.211 0.296
O 0.789 0.789 0.704

# 5
! Hf2CoRh PBE optimized geometry; values from VASP
! V = 71 Å³/f.u.
! Total energy = -0.303 Ha/atom
! D(E_F) = 2.56 states/eV/f.u.
! Crystal system = orthorhombic
! ΔH_f (0 K) = 0.357 eV/atom
&SYSTEM
  ibrav = 0, nat = 8, ntyp = 3
/
ATOMIC_SPECIES
Hf 178.49 Hf.upf
Co 58.93 Co.upf
Rh 102.91 Rh.upf
CELL_PARAMETERS angstrom
2.899 0.000 0.000
0.000 5.041 0.000
0.000 0.000 9.786
ATOMIC_POSITIONS crystal
Hf 0.000 0.000 0.243
Hf 0.000 0.000 0.757
Hf 0.500 0.500 0.257
Hf 0.500 0.500 0.743
Co 0.000 0.000 0.000
Co 0.500 0.500 0.500
Rh 0.000 0.000 0.500
Rh 0.500 0.500 0.000

# 6
! CuHg5 PBE optimized geometry; values from VASP
! V = 152 Å³/f.u.
! Total energy = -0.030 Ha/atom
! D(E_F) = 1.20 states/eV/f.u.
! Excess energy over the best structure of this formula in the dataset = 21 meV per atom
! Crystal system = trigonal
! ΔH_f (0 K) = 0.128 eV/atom
&SYSTEM
  ibrav = 0, nat = 6, ntyp = 2
/
ATOMIC_SPECIES
Cu 63.55 Cu.upf
Hg 200.59 Hg.upf
CELL_PARAMETERS angstrom
3.349 1.933 3.915
-3.349 1.933 3.915
0.000 -3.867 3.915
ATOMIC_POSITIONS crystal
Cu 0.000 0.000 0.000
Hg 0.013 0.500 0.987
Hg 0.376 0.376 0.376
Hg 0.500 0.987 0.013
Hg 0.624 0.624 0.624
Hg 0.987 0.013 0.500

# 7
! MnPd3Au2 PBE optimized geometry; values from VASP
! V = 97 Å³/f.u.
! Total energy = -0.197 Ha/atom
! D(E_F) = 2.21 states/eV/f.u.
! Excess energy over the best structure of this formula in the dataset = 38 meV per atom
! Crystal system = orthorhombic
! ΔH_f (0 K) = -0.135 eV/atom
&SYSTEM
  ibrav = 0, nat = 12, ntyp = 3
/
ATOMIC_SPECIES
Mn 54.94 Mn.upf
Pd 106.42 Pd.upf
Au 196.97 Au.upf
CELL_PARAMETERS angstrom
4.630 0.000 0.000
0.000 8.392 0.000
0.000 0.000 5.001
ATOMIC_POSITIONS crystal
Mn 0.000 0.095 0.000
Mn 0.000 0.905 0.500
Pd 0.000 0.414 0.000
Pd 0.000 0.586 0.500
Pd 0.500 0.078 0.682
Pd 0.500 0.249 0.177
Pd 0.500 0.751 0.677
Pd 0.500 0.922 0.182
Au 0.000 0.235 0.497
Au 0.000 0.765 0.997
Au 0.500 0.414 0.678
Au 0.500 0.586 0.178

# 8
! Na2PuRuO6 PBE optimized geometry; values from VASP
! V = 132 Å³/f.u.
! Total energy = -0.272 Ha/atom
! D(E_F) = 4.26 states/eV/f.u.
! Crystal system = tetragonal
! E_form (uncorrected) = -1795 meV per atom
&SYSTEM
  ibrav = 0, nat = 10, ntyp = 4
/
ATOMIC_SPECIES
Na 22.99 Na.upf
Pu 244.00 Pu.upf
Ru 101.07 Ru.upf
O 16.00 O.upf
CELL_PARAMETERS angstrom
5.711 0.000 0.000
0.000 5.711 0.000
0.000 0.000 4.046
ATOMIC_POSITIONS crystal
Na 0.000 0.500 0.000
Na 0.500 0.000 0.000
Pu 0.000 0.000 0.500
Ru 0.500 0.500 0.500
O 0.000 0.000 0.000
O 0.254 0.254 0.500
O 0.254 0.746 0.500
O 0.500 0.500 0.000
O 0.746 0.254 0.500
O 0.746 0.746 0.500

# 9
! YPb2 PBE optimized geometry; values from VASP
! V = 89 Å³/f.u.
! Total energy = -0.180 Ha/atom
! D(E_F) = 2.39 states/eV/f.u.
! Crystal system = hexagonal
! ΔH_f (0 K) = -0.265 eV/atom
&SYSTEM
  ibrav = 0, nat = 6, ntyp = 2
/
ATOMIC_SPECIES
Y 88.91 Y.upf
Pb 207.20 Pb.upf
CELL_PARAMETERS angstrom
5.589 0.000 0.000
-2.794 4.840 0.000
0.000 0.000 6.585
ATOMIC_POSITIONS crystal
Y 0.333 0.667 0.250
Y 0.667 0.333 0.750
Pb 0.000 0.000 0.000
Pb 0.000 0.000 0.500
Pb 0.333 0.667 0.750
Pb 0.667 0.333 0.250

# 10
! MgVTe2 PBE optimized geometry; values from VASP
! V = 130 Å³/f.u.
! Total energy = -0.168 Ha/atom
! D(E_F) = 3.16 states/eV/f.u.
! Crystal system = tetragonal
! E_form (uncorrected) = -322 meV per atom
&SYSTEM
  ibrav = 0, nat = 16, ntyp = 3
/
ATOMIC_SPECIES
Mg 24.30 Mg.upf
V 50.94 V.upf
Te 127.60 Te.upf
CELL_PARAMETERS angstrom
6.412 0.000 0.000
0.000 6.412 0.000
0.000 0.000 12.686
ATOMIC_POSITIONS crystal
Mg 0.000 0.000 0.000
Mg 0.000 0.500 0.250
Mg 0.500 0.000 0.750
Mg 0.500 0.500 0.500
V 0.000 0.000 0.500
V 0.000 0.500 0.750
V 0.500 0.000 0.250
V 0.500 0.500 0.000
Te 0.236 0.250 0.625
Te 0.250 0.736 0.875
Te 0.250 0.764 0.375
Te 0.264 0.250 0.125
Te 0.736 0.750 0.125
Te 0.750 0.236 0.375
Te 0.750 0.264 0.875
Te 0.764 0.750 0.625

# 11
! Ce2InRe PBE optimized geometry; values from VASP
! V = 112 Å³/f.u.
! Total energy = -0.245 Ha/atom
! D(E_F) = 4.32 states/eV/f.u.
! Excess energy over the best structure of this formula in the dataset = 230 meV per atom
! Crystal system = trigonal
! ΔH_f (0 K) = 0.109 eV/atom
&SYSTEM
  ibrav = 0, nat = 12, ntyp = 3
/
ATOMIC_SPECIES
Ce 140.12 Ce.upf
In 114.82 In.upf
Re 186.21 Re.upf
CELL_PARAMETERS angstrom
4.025 0.000 0.000
-2.012 3.485 0.000
0.000 0.000 24.027
ATOMIC_POSITIONS crystal
Ce 0.000 0.000 0.230
Ce 0.000 0.000 0.770
Ce 0.333 0.667 0.437
Ce 0.333 0.667 0.897
Ce 0.667 0.333 0.103
Ce 0.667 0.333 0.563
In 0.000 0.000 0.000
In 0.333 0.667 0.667
In 0.667 0.333 0.333
Re 0.000 0.000 0.500
Re 0.333 0.667 0.167
Re 0.667 0.333 0.833

# 12
! Ta2InHRh PBE optimized geometry; values from VASP
! V = 72 Å³/f.u.
! Total energy = -0.276 Ha/atom
! D(E_F) = 3.91 states/eV/f.u.
! Crystal system = tetragonal
&SYSTEM
  ibrav = 0, nat = 5, ntyp = 4
/
ATOMIC_SPECIES
Ta 180.95 Ta.upf
In 114.82 In.upf
H 1.01 H.upf
Rh 102.91 Rh.upf
CELL_PARAMETERS angstrom
4.143 0.000 0.000
0.000 4.143 0.000
0.000 0.000 4.220
ATOMIC_POSITIONS crystal
Ta 0.000 0.500 0.000
Ta 0.500 0.000 0.000
In 0.000 0.000 0.500
H 0.500 0.500 0.000
Rh 0.500 0.500 0.500

What did the seventh record say?
! MnPd3Au2 PBE optimized geometry; values from VASP
! V = 97 Å³/f.u.
! Total energy = -0.197 Ha/atom
! D(E_F) = 2.21 states/eV/f.u.
! Excess energy over the best structure of this formula in the dataset = 38 meV per atom
! Crystal system = orthorhombic
! ΔH_f (0 K) = -0.135 eV/atom
&SYSTEM
  ibrav = 0, nat = 12, ntyp = 3
/
ATOMIC_SPECIES
Mn 54.94 Mn.upf
Pd 106.42 Pd.upf
Au 196.97 Au.upf
CELL_PARAMETERS angstrom
4.630 0.000 0.000
0.000 8.392 0.000
0.000 0.000 5.001
ATOMIC_POSITIONS crystal
Mn 0.000 0.095 0.000
Mn 0.000 0.905 0.500
Pd 0.000 0.414 0.000
Pd 0.000 0.586 0.500
Pd 0.500 0.078 0.682
Pd 0.500 0.249 0.177
Pd 0.500 0.751 0.677
Pd 0.500 0.922 0.182
Au 0.000 0.235 0.497
Au 0.000 0.765 0.997
Au 0.500 0.414 0.678
Au 0.500 0.586 0.178